# 1
# Cu7Te4

Cu7Te4 after structural relaxation (PBE-GGA, the Open Quantum Materials Database).

Properties
* crystal system: trigonal

abc: 8.3276 8.3276 31.7296
angles: 90.00 90.00 120.00
Space group P3m1 (No. 156)
One atom of each set of equivalent atoms:
Cu 0.0000 0.0000 0.0000 [1 per cell]
Cu 0.0000 0.0000 0.2234 [1 per cell]
Cu 0.0000 0.0000 0.4508 [1 per cell]
Cu 0.0101 0.5051 0.0624 [3 per cell]
Cu 0.0127 0.5064 0.2909 [3 per cell]
Cu 0.1407 0.5704 0.8425 [3 per cell]
Cu 0.1507 0.3014 0.2681 [3 per cell]
Cu 0.1530 0.3060 0.0400 [3 per cell]
Cu 0.1603 0.3207 0.4798 [3 per cell]
Cu 0.1725 0.3450 0.8897 [3 per cell]
Cu 0.1821 0.3642 0.1187 [3 per cell]
Cu 0.1881 0.3763 0.3460 [3 per cell]
Cu 0.3216 0.1608 0.0957 [3 per cell]
Cu 0.3219 0.1610 0.3236 [3 per cell]
Cu 0.3333 0.6667 0.1625 [1 per cell]
Cu 0.3333 0.6667 0.3980 [1 per cell]
Cu 0.3333 0.6667 0.9342 [1 per cell]
Cu 0.3339 0.1669 0.8788 [3 per cell]
Te 0.0000 0.0000 0.1391 [1 per cell]
Te 0.0000 0.0000 0.3644 [1 per cell]
Te 0.0000 0.0000 0.9144 [1 per cell]
Te 0.3333 0.6667 0.0183 [1 per cell]
Te 0.3333 0.6667 0.2467 [1 per cell]
Te 0.3333 0.6667 0.4816 [1 per cell]
Te 0.3613 0.1807 0.4677 [3 per cell]
Te 0.3664 0.1832 0.2408 [3 per cell]
Te 0.3674 0.1837 0.0132 [3 per cell]
Te 0.5159 0.0319 0.9153 [3 per cell]
Te 0.5165 0.0331 0.1450 [3 per cell]
Te 0.5178 0.0356 0.3742 [3 per cell]

# 2
# Cu4Te

Cu4Te after structural relaxation (PBE-GGA, the Open Quantum Materials Database).

Properties
* crystal system: monoclinic

abc: 7.266 2.809 31.251
angles: 90.00 95.75 90.00
Space group P2_1/m (No. 11)
One atom of each set of equivalent atoms:
Cu 0.002 0.250 0.395 [2 per cell]
Cu 0.091 0.750 0.529 [2 per cell]
Cu 0.102 0.250 0.319 [2 per cell]
Cu 0.176 0.250 0.662 [2 per cell]
Cu 0.183 0.750 0.452 [2 per cell]
Cu 0.272 0.250 0.586 [2 per cell]
Cu 0.276 0.750 0.375 [2 per cell]
Cu 0.353 0.750 0.720 [2 per cell]
Cu 0.364 0.250 0.510 [2 per cell]
Cu 0.369 0.750 0.297 [2 per cell]
Cu 0.454 0.750 0.644 [2 per cell]
Cu 0.455 0.250 0.433 [2 per cell]
Te 0.078 0.250 0.751 [2 per cell]
Te 0.239 0.250 0.858 [2 per cell]
Te 0.374 0.250 0.219 [2 per cell]

# 3
# Cu10Te

Cu10Te after structural relaxation (PBE-GGA, the Open Quantum Materials Database).

Properties
* crystal system: orthorhombic

abc: 2.660 3.553 41.591
angles: 90.00 90.00 90.00
Space group Pmmn (No. 59, origin choice 2)
One atom of each set of equivalent atoms:
Cu 0.250 0.250 0.015 [2 per cell]
Cu 0.250 0.250 0.076 [2 per cell]
Cu 0.250 0.250 0.136 [2 per cell]
Cu 0.250 0.250 0.197 [2 per cell]
Cu 0.250 0.250 0.258 [2 per cell]
Cu 0.250 0.250 0.711 [2 per cell]
Cu 0.250 0.250 0.772 [2 per cell]
Cu 0.250 0.250 0.833 [2 per cell]
Cu 0.250 0.250 0.894 [2 per cell]
Cu 0.250 0.250 0.954 [2 per cell]
Te 0.250 0.250 0.333 [2 per cell]

# 4
# Cu9Te2

Cu9Te2 after structural relaxation (PBE-GGA, the Open Quantum Materials Database).

Properties
* crystal system: tetragonal

abc: 2.890 2.890 44.036
angles: 90.00 90.00 90.00
Space group P4/nmm (No. 129, origin choice 2)
One atom of each set of equivalent atoms:
Cu 0.250 0.250 0.016 [2 per cell]
Cu 0.250 0.250 0.081 [2 per cell]
Cu 0.250 0.250 0.145 [2 per cell]
Cu 0.250 0.250 0.210 [2 per cell]
Cu 0.250 0.250 0.275 [2 per cell]
Cu 0.250 0.250 0.758 [2 per cell]
Cu 0.250 0.250 0.822 [2 per cell]
Cu 0.250 0.250 0.887 [2 per cell]
Cu 0.250 0.250 0.952 [2 per cell]
Te 0.250 0.250 0.410 [2 per cell]
Te 0.250 0.250 0.676 [2 per cell]

# 5
# Cu15Te8

Cu15Te8 after structural relaxation (PBE-GGA, the Open Quantum Materials Database).

Properties
* crystal system: trigonal

abc: 8.3962 8.3962 25.6124
angles: 90.00 90.00 120.00
Space group P3m1 (No. 156)
One atom of each set of equivalent atoms:
Cu 0.0000 0.0000 0.0000 [1 per cell]
Cu 0.0000 0.0000 0.2606 [1 per cell]
Cu 0.0035 0.5018 0.0612 [3 per cell]
Cu 0.0076 0.5038 0.3450 [3 per cell]
Cu 0.1515 0.3031 0.3155 [3 per cell]
Cu 0.1590 0.3180 0.0326 [3 per cell]
Cu 0.1735 0.3469 0.4148 [3 per cell]
Cu 0.1830 0.3660 0.1316 [3 per cell]
Cu 0.3097 0.1549 0.0998 [3 per cell]
Cu 0.3128 0.1564 0.3833 [3 per cell]
Cu 0.3333 0.6667 0.1879 [1 per cell]
Cu 0.3333 0.6667 0.4428 [1 per cell]
Cu 0.6667 0.3333 0.0976 [1 per cell]
Cu 0.6667 0.3333 0.3826 [1 per cell]
Te 0.0000 0.0000 0.1554 [1 per cell]
Te 0.0000 0.0000 0.4404 [1 per cell]
Te 0.3333 0.6667 0.0088 [1 per cell]
Te 0.3333 0.6667 0.2924 [1 per cell]
Te 0.3614 0.1807 0.9974 [3 per cell]
Te 0.3640 0.1820 0.2823 [3 per cell]
Te 0.5133 0.0266 0.4498 [3 per cell]
Te 0.5142 0.0285 0.1649 [3 per cell]

# 6
# Cu7Te4

Cu7Te4 after structural relaxation (PBE-GGA, the Open Quantum Materials Database).

Properties
* crystal system: monoclinic

abc: 7.232 33.608 14.153
angles: 90.00 90.17 90.00
Space group P2 (No. 3)
One atom of each set of equivalent atoms:
Cu 0.066 0.000 0.413 [2 per cell]
Cu 0.067 0.295 0.186 [2 per cell]
Cu 0.068 0.176 0.674 [2 per cell]
Cu 0.071 0.113 0.414 [2 per cell]
Cu 0.071 0.240 0.410 [2 per cell]
Cu 0.073 0.119 0.915 [2 per cell]
Cu 0.076 0.001 0.919 [2 per cell]
Cu 0.078 0.058 0.165 [2 per cell]
Cu 0.081 0.240 0.917 [2 per cell]
Cu 0.149 0.007 0.734 [2 per cell]
Cu 0.167 0.123 0.239 [2 per cell]
Cu 0.169 0.180 0.020 [2 per cell]
Cu 0.169 0.244 0.743 [2 per cell]
Cu 0.171 0.297 0.512 [2 per cell]
Cu 0.171 0.992 0.240 [2 per cell]
Cu 0.172 0.108 0.744 [2 per cell]
Cu 0.176 0.056 0.519 [2 per cell]
Cu 0.191 0.233 0.248 [2 per cell]
Cu 0.375 0.178 0.165 [2 per cell]
Cu 0.378 0.056 0.664 [2 per cell]
Cu 0.417 0.289 0.681 [2 per cell]
Te 0.245 0.309 0.339 [2 per cell]
Te 0.262 0.177 0.835 [2 per cell]
Te 0.266 0.054 0.333 [2 per cell]
Te 0.272 0.305 0.845 [2 per cell]
Te 0.273 0.989 0.074 [2 per cell]
Te 0.279 0.985 0.577 [2 per cell]
Te 0.292 0.124 0.576 [2 per cell]
Te 0.293 0.111 0.071 [2 per cell]
Te 0.293 0.232 0.574 [2 per cell]
Te 0.294 0.249 0.077 [2 per cell]
Te 0.295 0.176 0.353 [2 per cell]
Te 0.306 0.053 0.852 [2 per cell]

# 7
# Cu7Te4

Cu7Te4 after structural relaxation (PBE-GGA, the Open Quantum Materials Database).

Properties
* crystal system: monoclinic

abc: 7.259 8.242 51.611
angles: 90.00 90.34 90.00
Space group P2_1/m (No. 11)
One atom of each set of equivalent atoms:
Cu 0.070 0.250 0.021 [2 per cell]
Cu 0.072 0.008 0.954 [4 per cell]
Cu 0.074 0.750 0.881 [2 per cell]
Cu 0.075 0.008 0.821 [4 per cell]
Cu 0.077 0.504 0.093 [4 per cell]
Cu 0.080 0.250 0.187 [2 per cell]
Cu 0.107 0.750 0.163 [2 per cell]
Cu 0.144 0.050 0.867 [4 per cell]
Cu 0.171 0.250 0.926 [2 per cell]
Cu 0.171 0.750 0.065 [2 per cell]
Cu 0.172 0.523 0.002 [4 per cell]
Cu 0.194 0.022 0.142 [4 per cell]
Cu 0.368 0.750 0.023 [2 per cell]
Cu 0.376 0.250 0.886 [2 per cell]
Cu 0.387 0.250 0.163 [2 per cell]
Te 0.253 0.750 0.836 [2 per cell]
Te 0.263 0.250 0.977 [2 per cell]
Te 0.265 0.750 0.116 [2 per cell]
Te 0.271 0.510 0.192 [4 per cell]
Te 0.287 0.250 0.833 [2 per cell]
Te 0.287 0.529 0.910 [4 per cell]
Te 0.290 0.026 0.049 [4 per cell]
Te 0.291 0.750 0.973 [2 per cell]
Te 0.293 0.250 0.111 [2 per cell]

# 8
# Cu7Te4

Cu7Te4 after structural relaxation (PBE-GGA, the Open Quantum Materials Database).

Properties
* crystal system: monoclinic

abc: 7.239 24.402 14.162
angles: 90.00 90.13 90.00
Space group P2 (No. 3)
One atom of each set of equivalent atoms:
Cu 0.061 0.000 0.312 [2 per cell]
Cu 0.121 0.681 0.335 [2 per cell]
Cu 0.130 0.857 0.832 [2 per cell]
Cu 0.259 0.940 0.740 [2 per cell]
Cu 0.315 0.756 0.253 [2 per cell]
Cu 0.317 0.595 0.764 [2 per cell]
Cu 0.324 0.681 0.479 [2 per cell]
Cu 0.331 0.859 0.978 [2 per cell]
Cu 0.334 0.014 0.482 [2 per cell]
Cu 0.339 0.945 0.258 [2 per cell]
Cu 0.347 0.780 0.763 [2 per cell]
Cu 0.370 0.621 0.270 [2 per cell]
Cu 0.415 0.942 0.082 [2 per cell]
Cu 0.423 0.772 0.084 [2 per cell]
Cu 0.424 0.604 0.585 [2 per cell]
Cu 0.424 0.687 0.834 [2 per cell]
Cu 0.424 0.850 0.326 [2 per cell]
Cu 0.431 0.606 0.082 [2 per cell]
Cu 0.433 0.761 0.587 [2 per cell]
Cu 0.435 0.938 0.589 [2 per cell]
Cu 0.439 0.016 0.808 [2 per cell]
Te 0.196 0.677 0.147 [2 per cell]
Te 0.203 0.925 0.424 [2 per cell]
Te 0.206 0.775 0.424 [2 per cell]
Te 0.211 0.762 0.927 [2 per cell]
Te 0.212 0.954 0.920 [2 per cell]
Te 0.215 0.851 0.648 [2 per cell]
Te 0.223 0.029 0.157 [2 per cell]
Te 0.228 0.583 0.420 [2 per cell]
Te 0.229 0.581 0.930 [2 per cell]
Te 0.235 0.681 0.667 [2 per cell]
Te 0.238 0.854 0.163 [2 per cell]
Te 0.263 0.039 0.654 [2 per cell]

no.,offset from the most stable computed form (meV/atom)
1,107
2,54
3,78
4,41
5,5
6,97
7,22
8,93